(1)
# Pr8Er6Tm (PBE, optimized geometry)
data_Pr8Er6Tm
_cell_length_a 9.438
_cell_length_b 9.438
_cell_length_c 6.594
_cell_angle_alpha 90.00
_cell_angle_beta 90.00
_cell_angle_gamma 120.00
_space_group_name_H-M_alt 'P 1'
_space_group_IT_number 1
loop_
_space_group_symop_operation_xyz
'x,y,z'
loop_
_atom_site_label
_atom_site_type_symbol
_atom_site_fract_x
_atom_site_fract_y
_atom_site_fract_z
_atom_site_occupancy
Pr1 Pr 0.039 0.751 0.169 1
Pr2 Pr 0.249 0.288 0.169 1
Pr3 Pr 0.288 0.039 0.831 1
Pr4 Pr 0.333 0.667 0.121 1
Pr5 Pr 0.667 0.333 0.879 1
Pr6 Pr 0.712 0.961 0.169 1
Pr7 Pr 0.751 0.712 0.831 1
Pr8 Pr 0.961 0.249 0.831 1
Er1 Er 0.096 0.658 0.656 1
Er2 Er 0.342 0.438 0.656 1
Er3 Er 0.438 0.096 0.344 1
Er4 Er 0.562 0.904 0.656 1
Er5 Er 0.658 0.562 0.344 1
Er6 Er 0.904 0.342 0.344 1
Tm1 Tm 0.000 0.000 0.500 1
# space-group type = P-3, No. 147

(2)
# Pr2Er15Tm2 (PBE, optimized geometry)
data_Pr2Er15Tm2
_cell_length_a 8.656
_cell_length_b 8.656
_cell_length_c 8.656
_cell_angle_alpha 79.77
_cell_angle_beta 79.77
_cell_angle_gamma 79.77
_space_group_name_H-M_alt 'P 1'
_space_group_IT_number 1
loop_
_space_group_symop_operation_xyz
'x,y,z'
loop_
_atom_site_label
_atom_site_type_symbol
_atom_site_fract_x
_atom_site_fract_y
_atom_site_fract_z
_atom_site_occupancy
Pr1 Pr 0.118 0.118 0.118 1
Pr2 Pr 0.882 0.882 0.882 1
Er1 Er 0.000 0.000 0.500 1
Er2 Er 0.000 0.305 0.695 1
Er3 Er 0.000 0.500 0.000 1
Er4 Er 0.000 0.695 0.305 1
Er5 Er 0.153 0.631 0.631 1
Er6 Er 0.305 0.000 0.695 1
Er7 Er 0.305 0.695 0.000 1
Er8 Er 0.369 0.369 0.847 1
Er9 Er 0.369 0.847 0.369 1
Er10 Er 0.500 0.000 0.000 1
Er11 Er 0.631 0.153 0.631 1
Er12 Er 0.631 0.631 0.153 1
Er13 Er 0.695 0.000 0.305 1
Er14 Er 0.695 0.305 0.000 1
Er15 Er 0.847 0.369 0.369 1
Tm1 Tm 0.329 0.329 0.329 1
Tm2 Tm 0.671 0.671 0.671 1
# space-group type = R-3m, No. 166

For the records above, the corresponding V values read 508.73 620.98 Å³ per cell.
For the records above, the corresponding total energy values read -67.51 -81.21 eV per cell.